A plane-wave DFT calculation with PBE was carried out for a relaxed Ge3SbMo crystal.

Cell lengths 4.947, 4.947, 4.947 Å; angles 90.00, 90.00, 90.00 degrees
Sites, in units of the cell vectors:
1 Ge 0.500 0.000 0.000
2 Ge 0.000 0.000 0.500
3 Mo 0.000 0.000 0.000
4 Sb 0.500 0.500 0.500
5 Ge 0.000 0.500 0.000

Calculated values
Formation energy from raw total energies in eV per formula unit: 2.6
D(E_F) in states/eV/cell: 5.038
Space-group type: Pm-3m (221)
Size of the total moment in μB/f.u.: 0.0